Entry 1:
Entry from Alexandria: CaSbTe2 after structural relaxation (PBE).

total magnetization	0.00	μB/f.u.
volume	32.664	Å³ per atom

Cell: 6.3929 9.0242 5.5365 Å, 90.00 125.10 90.00°
Space group C2/m (No. 12)
Unique sites:
Ca: 0.0000 0.0000 0.0000 x2
Sb: 0.0000 0.5000 0.0000 x2
Te: 0.2500 0.2500 0.5000 x4

---

Entry 2:
Entry from Alexandria: Ca2SbTe after structural relaxation (PBE).

total magnetization	0.00	μB/f.u.
excess energy over the best structure of this formula in the dataset	0.105	eV per atom
volume	31.004	Å³ per atom

Cell: 12.2520 4.0522 5.0190 Å, 90.00 95.50 90.00°
Space group Cm (No. 8)
Unique sites:
Ca: 0.0000 0.0000 0.0000 x2
Ca: 0.2378 0.0000 0.5227 x2
Sb: 0.4989 0.0000 0.5000 x2
Te: 0.2395 0.5000 0.0194 x2

---

Entry 3:
Entry from Alexandria: CaSb2Te after structural relaxation (PBE).

total magnetization	0.00	μB/f.u.
volume	30.480	Å³ per atom

Cell: 4.3536 4.3536 6.4324 Å, 90.00 90.00 90.00°
Space group P4/mmm (No. 123)
Unique sites:
Ca: 0.0000 0.0000 0.0000 x1
Sb: 0.0000 0.5000 0.5000 x2
Te: 0.5000 0.5000 0.0000 x1

---

Entry 4:
Entry from Alexandria: CaSbTe3 after structural relaxation (PBE).

total magnetization	0.00	μB/f.u.
excess energy over the best structure of this formula in the dataset	0.434	eV per atom
volume	38.269	Å³ per atom

Cell: 5.7624 5.7624 5.7624 Å, 90.00 90.00 90.00°
Space group Pm-3m (No. 221)
Unique sites:
Ca: 0.0000 0.0000 0.0000 x1
Sb: 0.5000 0.5000 0.5000 x1
Te: 0.0000 0.0000 0.5000 x3

---

Entry 5:
Entry from Alexandria: CaSb2Te after structural relaxation (PBE).

total magnetization	0.00	μB/f.u.
volume	32.091	Å³ per atom

Cell: 3.1867 3.1867 12.6407 Å, 90.00 90.00 90.00°
Space group P4/mmm (No. 123)
Unique sites:
Ca: 0.0000 0.0000 0.0000 x1
Sb: 0.5000 0.5000 0.1948 x2
Te: 0.0000 0.0000 0.5000 x1

---

Entry 6:
Entry from Alexandria: Ca2SbTe after structural relaxation (PBE).

total magnetization	0.00	μB/f.u.
excess energy over the best structure of this formula in the dataset	0.208	eV per atom
volume	32.694	Å³ per atom

Cell: 8.3572 8.3572 7.4896 Å, 90.00 90.00 90.00°
Space group I-42d (No. 122)
Unique sites:
Ca: 0.2502 0.2500 0.1250 x8
Sb: 0.0000 0.0000 0.0000 x4
Te: 0.0000 0.0000 0.5000 x4

---

Entry 7:
Entry from Alexandria: CaSb2Te after structural relaxation (PBE).

total magnetization	0.00	μB/f.u.
volume	32.018	Å³ per atom

Cell: 4.4330 4.4330 22.5761 Å, 90.00 90.00 120.00°
Space group R-3m (No. 166, hexagonal axes)
Unique sites:
Ca: 0.0000 0.0000 0.0000 x3
Sb: 0.0000 0.0000 0.2444 x6
Te: 0.0000 0.0000 0.5000 x3

---

Entry 8:
Entry from Alexandria: CaSb2Te after structural relaxation (PBE).

total magnetization	0.00	μB/f.u.
volume	31.971	Å³ per atom

Cell: 12.7945 4.3830 4.6057 Å, 90.00 97.99 90.00°
Space group C2/m (No. 12)
Unique sites:
Ca: 0.0000 0.0000 0.0000 x2
Sb: 0.2395 0.5000 0.7864 x4
Te: 0.0000 0.5000 0.5000 x2

---

| no. | electronic total energy (eV/cell) | uncorrected formation energy (eV/f.u.) |
| --- | --- | --- |
| 1 | -29.8 | -2.48 |
| 2 | -31.0 | -4.23 |
| 3 | -15.2 | -1.82 |
| 4 | -14.3 | 1.28 |
| 5 | -14.1 | -0.70 |
| 6 | -60.4 | -3.82 |
| 7 | -43.0 | -0.94 |
| 8 | -31.6 | -2.42 |